1.
Pr2YHoTe5: relaxed, PBE-GGA.

Formation energy (no corrections) (meV per atom): -845
SG: P4/mmm

abc: 5.5300 5.5300 11.5505
angles: 90.00 90.00 90.00
Last column: nearest neighbours and their distance in Å.
Fractional coordinates of all 9 atoms:
Pr  0.0000  0.0000  0.1669  4 Te 3.37
Pr  0.0000  0.0000  0.8331  4 Te 3.37
Y  0.5000  0.5000  0.5000  2 Te 2.84
Ho  0.5000  0.5000  0.0000  6 Te 2.76-2.94
Te  0.0000  0.0000  0.5000  2 Pr 3.85, 4 Y 3.91
Te  0.0000  0.5000  0.0000  2 Ho 2.76
Te  0.5000  0.0000  0.0000  2 Ho 2.76
Te  0.5000  0.5000  0.2545  1 Y 2.84, 1 Ho 2.94
Te  0.5000  0.5000  0.7455  1 Y 2.84, 1 Ho 2.94

2.
Pr3YHo3Te8: relaxed, PBE-GGA.

Formation energy (no corrections) (meV per atom): -1407
SG: R-3m

abc: 8.8670 8.8670 8.8670
angles: 59.50 59.50 59.50
Last column: nearest neighbours and their distance in Å.
Fractional coordinates of all 15 atoms:
Pr  0.0000  0.5000  0.5000  6 Te 3.19
Pr  0.5000  0.0000  0.5000  6 Te 3.19
Pr  0.5000  0.5000  0.0000  6 Te 3.19
Y  0.5000  0.5000  0.5000  6 Te 3.15
Ho  0.0000  0.0000  0.5000  6 Te 3.06
Ho  0.0000  0.5000  0.0000  6 Te 3.06
Ho  0.5000  0.0000  0.0000  6 Te 3.06
Te  0.2373  0.7524  0.7524  2 Ho 3.06, 1 Y 3.15, 2 Pr 3.19
Te  0.2449  0.2449  0.2449  3 Ho 3.06, 3 Pr 3.19
Te  0.2476  0.2476  0.7627  2 Ho 3.06, 1 Y 3.15, 2 Pr 3.19
Te  0.2476  0.7627  0.2476  2 Ho 3.06, 1 Y 3.15, 2 Pr 3.19
Te  0.7524  0.2373  0.7524  2 Ho 3.06, 1 Y 3.15, 2 Pr 3.19
Te  0.7524  0.7524  0.2373  2 Ho 3.06, 1 Y 3.15, 2 Pr 3.19
Te  0.7551  0.7551  0.7551  3 Ho 3.06, 3 Pr 3.19
Te  0.7627  0.2476  0.2476  2 Ho 3.06, 1 Y 3.15, 2 Pr 3.19

3.
Pr4Y3HoTe8: relaxed, PBE-GGA.

Formation energy (no corrections) (meV per atom): -1370
SG: R-3m

abc: 9.0022 9.0022 9.0022
angles: 58.42 58.42 58.42
Last column: nearest neighbours and their distance in Å.
Fractional coordinates of all 16 atoms:
Pr  0.0000  0.0000  0.0000  6 Te 3.22
Pr  0.0000  0.5000  0.5000  6 Te 3.21
Pr  0.5000  0.0000  0.5000  6 Te 3.21
Pr  0.5000  0.5000  0.0000  6 Te 3.21
Y  0.0000  0.0000  0.5000  6 Te 3.08
Y  0.0000  0.5000  0.0000  6 Te 3.08
Y  0.5000  0.0000  0.0000  6 Te 3.08
Ho  0.5000  0.5000  0.5000  6 Te 3.07
Te  0.2452  0.2452  0.2452  3 Y 3.08, 3 Pr 3.21
Te  0.2462  0.7443  0.7443  1 Ho 3.07, 2 Y 3.08, 3 Pr 3.21-3.22
Te  0.2557  0.2557  0.7538  1 Ho 3.07, 2 Y 3.08, 3 Pr 3.21-3.22
Te  0.2557  0.7538  0.2557  1 Ho 3.07, 2 Y 3.08, 3 Pr 3.21-3.22
Te  0.7443  0.2462  0.7443  1 Ho 3.07, 2 Y 3.08, 3 Pr 3.21-3.22
Te  0.7443  0.7443  0.2462  1 Ho 3.07, 2 Y 3.08, 3 Pr 3.21-3.22
Te  0.7538  0.2557  0.2557  1 Ho 3.07, 2 Y 3.08, 3 Pr 3.21-3.22
Te  0.7548  0.7548  0.7548  3 Y 3.08, 3 Pr 3.21

4.
Pr3Y2HoTe6: relaxed, PBE-GGA.

Formation energy (no corrections) (meV per atom): -1371
SG: C2/m

abc: 9.9919 9.9919 9.0080
angles: 104.52 104.52 25.37
Last column: nearest neighbours and their distance in Å.
Fractional coordinates of all 12 atoms:
Pr  0.0000  0.0000  0.0000  6 Te 3.20-3.22
Pr  0.3324  0.3324  0.6668  6 Te 3.20-3.22
Pr  0.6676  0.6676  0.3332  6 Te 3.20-3.22
Y  0.3328  0.3328  0.1664  6 Te 3.08-3.10
Y  0.6672  0.6672  0.8336  6 Te 3.08-3.10
Ho  0.0000  0.0000  0.5000  6 Te 3.06-3.07
Te  0.1625  0.1625  0.5902  1 Ho 3.06, 2 Y 3.09, 3 Pr 3.21
Te  0.1695  0.1695  0.0750  3 Y 3.08, 3 Pr 3.20
Te  0.4972  0.4972  0.2598  2 Ho 3.07, 1 Y 3.10, 3 Pr 3.22
Te  0.5028  0.5028  0.7402  2 Ho 3.07, 1 Y 3.10, 3 Pr 3.22
Te  0.8305  0.8305  0.9250  3 Y 3.08, 3 Pr 3.20
Te  0.8375  0.8375  0.4098  1 Ho 3.06, 2 Y 3.09, 3 Pr 3.21

5.
Pr7Ho12Th: relaxed, PBE-GGA.

Energy of formation from the pure elements (eV per atom): 0.2327
SG: R-3

abc: 8.7858 8.7858 8.7858
angles: 89.18 89.18 89.18
Last column: nearest neighbours and their distance in Å.
Fractional coordinates of all 20 atoms:
Pr  0.0000  0.0000  0.0000  6 Ho 3.23
Pr  0.1199  0.4549  0.3360  5 Ho 3.38-3.77, 3 Pr 3.63-3.64, 1 Th 3.69
Pr  0.3360  0.1199  0.4549  5 Ho 3.38-3.77, 3 Pr 3.63-3.64, 1 Th 3.69
Pr  0.4549  0.3360  0.1199  5 Ho 3.38-3.77, 3 Pr 3.63-3.64, 1 Th 3.69
Pr  0.5451  0.6640  0.8801  5 Ho 3.38-3.77, 3 Pr 3.63-3.64, 1 Th 3.69
Pr  0.6640  0.8801  0.5451  5 Ho 3.38-3.77, 3 Pr 3.63-3.64, 1 Th 3.69
Pr  0.8801  0.5451  0.6640  5 Ho 3.38-3.77, 3 Pr 3.63-3.64, 1 Th 3.69
Ho  0.0016  0.1155  0.6498  2 Pr 3.23-3.38, 4 Ho 3.32-3.46
Ho  0.1155  0.6498  0.0016  2 Pr 3.23-3.38, 4 Ho 3.32-3.46
Ho  0.2141  0.7552  0.6324  6 Ho 3.32-3.66, 2 Pr 3.49-3.71, 1 Th 3.54
Ho  0.2448  0.3676  0.7859  6 Ho 3.32-3.66, 2 Pr 3.49-3.71, 1 Th 3.54
Ho  0.3502  0.9984  0.8845  2 Pr 3.23-3.38, 4 Ho 3.32-3.46
Ho  0.3676  0.7859  0.2448  6 Ho 3.32-3.66, 2 Pr 3.49-3.71, 1 Th 3.54
Ho  0.6324  0.2141  0.7552  6 Ho 3.32-3.66, 2 Pr 3.49-3.71, 1 Th 3.54
Ho  0.6498  0.0016  0.1155  2 Pr 3.23-3.38, 4 Ho 3.32-3.46
Ho  0.7552  0.6324  0.2141  6 Ho 3.32-3.66, 2 Pr 3.49-3.71, 1 Th 3.54
Ho  0.7859  0.2448  0.3676  6 Ho 3.32-3.66, 2 Pr 3.49-3.71, 1 Th 3.54
Ho  0.8845  0.3502  0.9984  2 Pr 3.23-3.38, 4 Ho 3.32-3.46
Ho  0.9984  0.8845  0.3502  2 Pr 3.23-3.38, 4 Ho 3.32-3.46
Th  0.5000  0.5000  0.5000  6 Ho 3.54, 6 Pr 3.69

6.
Pr4Ho5Th: relaxed, PBE-GGA.

Energy of formation from the pure elements (eV per atom): 0.0154
SG: P4/mmm

abc: 3.6225 3.6225 25.3084
angles: 90.00 90.00 90.00
Last column: nearest neighbours and their distance in Å.
Fractional coordinates of all 10 atoms:
Pr  0.0000  0.0000  0.1005  8 Ho 3.61-3.62, 4 Pr 3.62
Pr  0.0000  0.0000  0.3021  8 Ho 3.61-3.66, 4 Pr 3.62
Pr  0.0000  0.0000  0.6979  8 Ho 3.61-3.66, 4 Pr 3.62
Pr  0.0000  0.0000  0.8995  8 Ho 3.61-3.62, 4 Pr 3.62
Ho  0.5000  0.5000  0.0000  8 Pr 3.61, 4 Ho 3.62
Ho  0.5000  0.5000  0.2014  8 Pr 3.61-3.62, 4 Ho 3.62
Ho  0.5000  0.5000  0.4053  4 Th 3.51, 4 Ho 3.62, 4 Pr 3.66
Ho  0.5000  0.5000  0.5947  4 Th 3.51, 4 Ho 3.62, 4 Pr 3.66
Ho  0.5000  0.5000  0.7986  8 Pr 3.61-3.62, 4 Ho 3.62
Th  0.0000  0.0000  0.5000  8 Ho 3.51, 4 Th 3.62

7.
Pr8Ho3Th2: relaxed, PBE-GGA.

Energy of formation from the pure elements (eV per atom): 0.2470
SG: C2/m

abc: 11.1661 11.1661 5.7952
angles: 90.03 90.03 39.56
Last column: nearest neighbours and their distance in Å.
Fractional coordinates of all 13 atoms:
Pr  0.1015  0.6877  0.9999  1 Pr 3.13, 1 Ho 3.13
Pr  0.1740  0.1740  0.5007  2 Th 3.39, 4 Pr 3.59-3.60
Pr  0.3123  0.8985  0.0001  1 Pr 3.13, 1 Ho 3.13
Pr  0.3660  0.3660  0.5005  2 Ho 3.51, 2 Th 3.68-3.69, 6 Pr 3.69-3.87
Pr  0.6340  0.6340  0.4995  2 Ho 3.51, 2 Th 3.68-3.69, 6 Pr 3.69-3.87
Pr  0.6877  0.1015  0.9999  1 Pr 3.13, 1 Ho 3.13
Pr  0.8260  0.8260  0.4993  2 Th 3.39, 4 Pr 3.59-3.60
Pr  0.8985  0.3123  0.0001  1 Pr 3.13, 1 Ho 3.13
Ho  0.2224  0.7776  0.5000  3 Ho 3.36-3.58, 6 Pr 3.51-3.65
Ho  0.5000  0.5000  0.0000  4 Pr 3.13
Ho  0.7776  0.2224  0.5000  3 Ho 3.36-3.58, 6 Pr 3.51-3.65
Th  0.2577  0.2577  0.0010  8 Pr 3.39-3.69, 2 Th 3.79
Th  0.7423  0.7423  0.9990  8 Pr 3.39-3.69, 2 Th 3.79

8.
PrHoTh3: relaxed, PBE-GGA.

Energy of formation from the pure elements (eV per atom): 0.3704
SG: Imma

abc: 8.3355 8.3355 8.3355
angles: 106.39 88.68 137.80
Last column: nearest neighbours and their distance in Å.
Fractional coordinates of all 10 atoms:
Pr  0.5000  0.0000  0.0000  4 Th 3.43, 2 Ho 3.67
Pr  0.5000  0.5000  0.5000  4 Th 3.43, 2 Ho 3.67
Ho  0.0527  0.3027  0.7500  6 Th 3.49-3.62, 2 Pr 3.67
Ho  0.9473  0.6973  0.2500  6 Th 3.49-3.62, 2 Pr 3.67
Th  0.0000  0.0000  0.0000  6 Th 3.31-3.44, 2 Ho 3.49
Th  0.0000  0.3315  0.3315  6 Th 3.31-3.44, 2 Pr 3.43, 2 Ho 3.62
Th  0.0000  0.6685  0.6685  6 Th 3.31-3.44, 2 Pr 3.43, 2 Ho 3.62
Th  0.5000  0.0000  0.5000  6 Th 3.31-3.44, 2 Ho 3.49
Th  0.5000  0.3315  0.8315  6 Th 3.31-3.44, 2 Pr 3.43, 2 Ho 3.62
Th  0.5000  0.6685  0.1685  6 Th 3.31-3.44, 2 Pr 3.43, 2 Ho 3.62

9.
Pr2Ho4Th: relaxed, PBE-GGA.

E above lowest polymorph (eV per atom): 0.704
Energy of formation from the pure elements (eV per atom): 0.7357
SG: I4/mmm

abc: 9.4303 9.4303 9.4303
angles: 144.80 144.80 50.64
Last column: nearest neighbours and their distance in Å.
Fractional coordinates of all 7 atoms:
Pr  0.1178  0.1178  0.0000  5 Ho 3.47-3.49
Pr  0.8822  0.8822  0.0000  5 Ho 3.47-3.49
Ho  0.0000  0.5000  0.5000  2 Th 2.85
Ho  0.3212  0.3212  0.0000  1 Th 3.05
Ho  0.5000  0.0000  0.5000  2 Th 2.85
Ho  0.6788  0.6788  0.0000  1 Th 3.05
Th  0.5000  0.5000  0.0000  6 Ho 2.85-3.05

10.
Pr3Ho4Th: relaxed, PBE-GGA.

E above lowest polymorph (eV per atom): 0.096
Energy of formation from the pure elements (eV per atom): 0.1487
SG: Immm

abc: 9.0027 9.0027 9.0027
angles: 157.93 98.82 85.41
Last column: nearest neighbours and their distance in Å.
Fractional coordinates of all 8 atoms:
Pr  0.0000  0.0000  0.0000  2 Pr 3.45, 8 Ho 3.81
Pr  0.2683  0.7683  0.5000  6 Ho 3.42-3.65, 2 Pr 3.45, 2 Th 3.52
Pr  0.7317  0.2317  0.5000  6 Ho 3.42-3.65, 2 Pr 3.45, 2 Th 3.52
Ho  0.1153  0.3668  0.7485  5 Pr 3.42-3.81, 1 Th 3.43, 5 Ho 3.45-3.54
Ho  0.3817  0.6332  0.7485  5 Pr 3.42-3.81, 1 Th 3.43, 5 Ho 3.45-3.54
Ho  0.6183  0.3668  0.2515  5 Pr 3.42-3.81, 1 Th 3.43, 5 Ho 3.45-3.54
Ho  0.8847  0.6332  0.2515  5 Pr 3.42-3.81, 1 Th 3.43, 5 Ho 3.45-3.54
Th  0.5000  0.5000  0.0000  4 Ho 3.43, 2 Th 3.45, 4 Pr 3.52

11.
PrHo6Th4: relaxed, PBE-GGA.

Energy of formation from the pure elements (eV per atom): 0.1748
SG: Immm

abc: 18.1891 18.1891 18.1891
angles: 169.18 161.43 21.55
Last column: nearest neighbours and their distance in Å.
Fractional coordinates of all 11 atoms:
Pr  0.0000  0.0000  0.0000  2 Pr 3.43, 8 Th 3.76
Ho  0.0972  0.5972  0.5000  6 Ho 3.43-3.62, 4 Th 3.48-3.50
Ho  0.2671  0.7671  0.5000  7 Ho 3.43-3.62, 4 Th 3.44-3.47
Ho  0.3683  0.8683  0.5000  7 Ho 3.43-3.62, 4 Th 3.45-3.55
Ho  0.6317  0.1317  0.5000  7 Ho 3.43-3.62, 4 Th 3.45-3.55
Ho  0.7329  0.2329  0.5000  7 Ho 3.43-3.62, 4 Th 3.44-3.47
Ho  0.9028  0.4028  0.5000  6 Ho 3.43-3.62, 4 Th 3.48-3.50
Th  0.1826  0.1826  0.0000  2 Th 3.43, 8 Ho 3.44-3.50
Th  0.4551  0.4551  0.0000  3 Th 3.21-3.43, 4 Ho 3.48-3.55
Th  0.5449  0.5449  0.0000  3 Th 3.21-3.43, 4 Ho 3.48-3.55
Th  0.8174  0.8174  0.0000  2 Th 3.43, 8 Ho 3.44-3.50